A relaxed structure of K2InRe. Source: Alexandria via LeMat-Bulk, functional GGA-PBE.

Formation energy from the elements   4.6 eV/f.u.

Structure (extended XYZ):
```
4
Lattice="4.260 0.000 0.000 0.000 4.260 0.000 0.000 0.000 5.814" Properties=species:S:1:pos:R:3 pbc="T T T"
K 0.000 2.130 0.000
K 2.130 0.000 0.000
In 0.000 0.000 2.907
Re 2.130 2.130 2.907
```

---

A relaxed structure of K2InRe. Source: Alexandria via LeMat-Bulk, functional GGA-PBE.

Formation energy from the elements   3.2 eV/f.u.

Structure (extended XYZ):
```
4
Lattice="2.987 0.000 0.000 0.000 4.574 0.000 -1.039 0.000 10.075" Properties=species:S:1:pos:R:3 pbc="T T T"
K 0.000 0.000 0.000
K 0.371 2.287 5.962
In 1.403 0.000 3.207
Re -0.111 2.287 2.702
```

---

A relaxed structure of K2InRe. Source: Alexandria via LeMat-Bulk, functional GGA-PBE.

Formation energy from the elements   4.1 eV/f.u.

Structure (extended XYZ):
```
4
Lattice="2.899 0.000 0.000 0.000 2.899 0.000 0.000 0.000 11.999" Properties=species:S:1:pos:R:3 pbc="T T T"
K 0.000 0.000 2.785
K 0.000 0.000 9.214
In 1.449 1.449 6.000
Re 1.449 1.449 0.000
```

---

A relaxed structure of KInRe2. Source: Alexandria via LeMat-Bulk, functional GGA-PBE.

Formation energy from the elements   5.5 eV/f.u.

Structure (extended XYZ):
```
4
Lattice="2.839 0.000 0.000 0.000 5.051 0.000 0.000 0.000 5.349" Properties=species:S:1:pos:R:3 pbc="T T T"
K 0.000 0.000 0.000
In 1.419 2.525 0.000
Re 0.000 2.525 2.675
Re 1.419 0.000 2.675
```

---

A relaxed structure of K2InRe. Source: Alexandria via LeMat-Bulk, functional GGA-PBE.

Formation energy from the elements   4.4 eV/f.u.

Structure (extended XYZ):
```
4
Lattice="2.961 0.000 0.000 0.000 6.023 0.000 -0.665 0.000 5.407" Properties=species:S:1:pos:R:3 pbc="T T T"
K 0.575 0.000 1.322
K 1.722 0.000 4.085
In -0.332 3.012 2.703
Re 1.480 3.012 0.000
```

---

A relaxed structure of KInRe2. Source: Alexandria via LeMat-Bulk, functional GGA-PBE.

Formation energy from the elements   5.0 eV/f.u.

Structure (extended XYZ):
```
4
Lattice="2.726 0.000 0.000 0.000 5.373 0.000 -0.389 0.000 5.459" Properties=species:S:1:pos:R:3 pbc="T T T"
K 0.000 0.000 0.000
In 1.168 0.000 2.730
Re 0.667 2.687 4.255
Re 1.670 2.687 1.204
```

---

The records above give, respectively, final energy values of -12.74 -14.18 -13.30 -23.21 -13.00 -23.76 eV/f.u..